A plane-wave DFT calculation with PBE-GGA was carried out for a relaxed Na2MnSnSe5 crystal.

Computed properties:
symmetry: Cmc2_1 (36)
formation energy without anion corrections: -575 meV/atom

POSCAR file:
```
Na2MnSnSe5
1.0
1.896 -9.586 0.000
1.896 9.586 0.000
0.000 0.000 13.038
Na Mn Sn Se
4 2 2 10
direct
0.106 0.894 0.500
0.113 0.887 0.150
0.887 0.113 0.650
0.894 0.106 0.000
0.242 0.758 0.892
0.758 0.242 0.392
0.424 0.576 0.292
0.576 0.424 0.792
0.046 0.954 0.919
0.266 0.734 0.514
0.288 0.712 0.266
0.356 0.644 0.830
0.484 0.516 0.122
0.516 0.484 0.622
0.644 0.356 0.330
0.712 0.288 0.766
0.734 0.266 0.014
0.954 0.046 0.419
```